1.
DFT (PBE) results for a relaxed TmTlInTe3 crystal.

```
24
Lattice="-12.357 7.559 5.718 1.183 -1.069 3.970 6.763 10.452 0.799" Properties=species:S:1:pos:R:3 pbc="T T T"
Tl -8.232 5.842 7.484
In 0.527 0.899 1.238
Te -6.983 4.800 4.526
Te -9.062 9.034 6.286
Te 4.652 7.908 4.201
Te -4.695 14.854 6.552
In -3.483 8.031 4.353
Te 2.573 12.142 5.961
Te -1.592 11.586 7.052
Te 2.007 5.366 1.999
Te -4.849 7.482 6.918
Tm -7.588 14.065 7.201
Tl 3.821 11.100 3.003
Tm 3.177 2.877 3.286
Tm -4.329 4.604 5.988
Tl -4.751 11.180 5.579
In -0.928 8.911 6.134
In -4.937 16.043 9.249
Tm -0.081 12.338 4.499
Tl 0.341 5.762 4.908
Te 0.284 2.087 3.935
Te -2.818 5.356 3.434
Te 0.439 9.460 3.569
Te -6.418 11.576 8.488
```

- E above lowest polymorph (eV/f.u.) = 0.000
- crystal system = orthorhombic

***

2.
DFT (PBE) results for a relaxed Lu2CoGe crystal.

```
4
Lattice="1.674 -4.152 -1.467 -2.947 -3.600 -0.736 -0.870 -1.472 -4.389" Properties=species:S:1:pos:R:3 pbc="T T T"
Ge -1.071 -4.612 -3.296
Co -0.536 -2.306 -1.648
Lu 0.000 0.000 0.000
Lu -1.607 -6.918 -4.945
```

- E_tot (eV for the cell shown) = -20.82
- crystal system = cubic

***

3.
DFT (PBE) results for a relaxed NdDyNi4Sn2 crystal.

```
8
Lattice="4.383 0.000 0.000 -2.191 3.795 0.000 0.000 0.000 8.851" Properties=species:S:1:pos:R:3 pbc="T T T"
Sn 0.000 2.530 2.129
Ni 0.000 0.000 6.040
Ni 2.191 1.265 1.461
Nd 2.191 1.265 4.425
Ni 2.191 1.265 7.390
Dy 0.000 0.000 0.000
Sn 0.000 2.530 6.721
Ni 0.000 0.000 2.811
```

- E_tot (eV for the cell shown) = -43.66
- crystal system = hexagonal